Entry 1:
HfNi2H2 (PBEsol, relaxed); D(E_F) = 2.3 states/eV/cell; DFT total energy = -6.245 eV per atom
1.0
3.3518 0.0000 0.0000
0.0000 3.3518 0.0000
0.0000 0.0000 7.9391
Hf Ni H
2 4 4
direct
0.0000 0.0000 0.0000 Hf
0.5000 0.5000 0.5000 Hf
0.0000 0.0000 0.3334 Ni
0.0000 0.0000 0.6666 Ni
0.5000 0.5000 0.1666 Ni
0.5000 0.5000 0.8334 Ni
0.0000 0.5000 0.2500 H
0.0000 0.5000 0.7500 H
0.5000 0.0000 0.2500 H
0.5000 0.0000 0.7500 H

---

Entry 2:
LaHg2Pt (PBEsol, relaxed); D(E_F) = 2.0 states/eV/cell; formation energy from the elements = -2.02 eV/f.u.
1.0
4.1953 0.0000 0.0000
0.0000 4.1953 0.0000
0.0000 0.0000 5.2171
La Hg Pt
1 2 1
direct
0.0000 0.0000 0.0000 La
0.0000 0.5000 0.5000 Hg
0.5000 0.0000 0.5000 Hg
0.5000 0.5000 0.0000 Pt

---

Entry 3:
Cr4TcAg (PBEsol, relaxed); D(E_F) = 1.8 states/eV/cell; formation energy from the elements = 1.44 eV/f.u.
1.0
0.0000 3.3420 3.3420
3.3420 0.0000 3.3420
3.3420 3.3420 0.0000
Cr Tc Ag
4 1 1
direct
0.1236 0.1236 0.1236 Cr
0.1236 0.1236 0.6292 Cr
0.1236 0.6292 0.1236 Cr
0.6292 0.1236 0.1236 Cr
0.5000 0.5000 0.5000 Tc
0.7500 0.7500 0.7500 Ag

---

Entry 4:
AlIr2Se (PBEsol, relaxed); excess energy over the best structure of this formula in the dataset = 0.00 eV per formula unit; D(E_F) = 3.8 states/eV/cell; formation energy without anion corrections = -0.15 eV/atom
1.0
8.3949 0.0000 0.0000
0.0000 2.8972 0.0000
-1.0964 0.0000 4.8132
Al Ir Se
2 4 2
direct
0.0000 0.0000 0.0000 Al
0.5000 0.5000 0.0000 Al
0.2428 0.5000 0.2411 Ir
0.2572 0.0000 0.7589 Ir
0.7428 0.0000 0.2411 Ir
0.7572 0.5000 0.7589 Ir
0.0000 0.5000 0.5000 Se
0.5000 0.0000 0.5000 Se

---

Entry 5:
Sb4Br2O5 (PBEsol, relaxed); D(E_F) = 0.0 states/eV/cell; formation energy without anion corrections = -1.19 eV/atom
1.0
6.5089 0.0000 0.0000
0.0000 5.1597 0.0000
-1.6697 0.0000 13.4266
Sb Br O
8 4 10
direct
0.1799 0.2221 0.0529 Sb
0.1799 0.2779 0.5529 Sb
0.1996 0.6143 0.2978 Sb
0.1996 0.8857 0.7978 Sb
0.8004 0.1143 0.2022 Sb
0.8004 0.3857 0.7022 Sb
0.8201 0.7221 0.4471 Sb
0.8201 0.7779 0.9471 Sb
0.4948 0.2056 0.3822 Br
0.4948 0.2944 0.8822 Br
0.5052 0.7056 0.1178 Br
0.5052 0.7944 0.6178 Br
0.0000 0.0000 0.5000 O
0.0000 0.5000 0.0000 O
0.0692 0.0090 0.9181 O
0.0692 0.4910 0.4181 O
0.0740 0.1687 0.7089 O
0.0740 0.3313 0.2089 O
0.9260 0.6687 0.7911 O
0.9260 0.8313 0.2911 O
0.9308 0.5090 0.5819 O
0.9308 0.9910 0.0819 O

---

Entry 6:
YMgCu (PBEsol, relaxed); excess energy over the best structure of this formula in the dataset = 0.19 eV per formula unit; D(E_F) = 4.3 states/eV/cell; formation energy from the elements = -0.40 eV/f.u.
1.0
4.0669 0.0000 0.0000
0.0000 4.0669 0.0000
0.0000 0.0000 7.5568
Y Mg Cu
2 2 2
direct
0.2500 0.2500 0.1426 Y
0.7500 0.7500 0.8574 Y
0.2500 0.7500 0.5000 Mg
0.7500 0.2500 0.5000 Mg
0.2500 0.2500 0.7518 Cu
0.7500 0.7500 0.2482 Cu

---

Entry 7:
Pb2Au3 (PBEsol, relaxed); D(E_F) = 6.0 states/eV/cell; formation energy from the elements = -0.08 eV/f.u.
1.0
4.5146 0.0000 0.0000
-2.2573 3.9097 0.0000
0.0000 0.0000 19.7020
Pb Au
6 9
direct
0.0000 0.0000 0.0917 Pb
0.0000 0.0000 0.9083 Pb
0.3333 0.6667 0.5750 Pb
0.3333 0.6667 0.7583 Pb
0.6667 0.3333 0.2417 Pb
0.6667 0.3333 0.4250 Pb
0.0000 0.0000 0.3569 Au
0.0000 0.0000 0.5000 Au
0.0000 0.0000 0.6431 Au
0.3333 0.6667 0.0235 Au
0.3333 0.6667 0.1667 Au
0.3333 0.6667 0.3098 Au
0.6667 0.3333 0.6902 Au
0.6667 0.3333 0.8333 Au
0.6667 0.3333 0.9765 Au

---

Entry 8:
TlTcPt (PBEsol, relaxed); D(E_F) = 3.2 states/eV/cell; formation energy from the elements = 0.90 eV/f.u.
1.0
2.9044 0.0000 0.0000
0.0000 2.9044 0.0000
0.0000 0.0000 12.0366
Tl Tc Pt
2 2 2
direct
0.0000 0.0000 0.0000 Tl
0.5000 0.5000 0.5000 Tl
0.0000 0.0000 0.3231 Tc
0.5000 0.5000 0.8231 Tc
0.0000 0.0000 0.6863 Pt
0.5000 0.5000 0.1863 Pt

---

Entry 9:
KSO2F (PBEsol, relaxed); D(E_F) = 0.0 states/eV/cell; formation energy without anion corrections = -1.83 eV/atom
1.0
4.5618 0.0000 0.0000
0.0000 5.7092 0.0000
-2.0276 0.0000 6.5650
K S O F
2 2 4 2
direct
0.1591 0.2500 0.2925 K
0.8409 0.7500 0.7074 K
0.4012 0.2500 0.8231 S
0.5988 0.7500 0.1769 S
0.3347 0.0369 0.6957 O
0.3347 0.4631 0.6957 O
0.6653 0.5369 0.3043 O
0.6653 0.9631 0.3043 O
0.1869 0.7500 0.1161 F
0.8131 0.2500 0.8839 F

---

Entry 10:
KCaBi2 (PBEsol, relaxed); D(E_F) = 9.0 states/eV/cell; formation energy from the elements = -1.73 eV/f.u.
1.0
7.9871 0.0000 0.0000
0.0000 7.9871 0.0000
0.0000 0.0000 7.9871
K Ca Bi
4 4 8
direct
0.0000 0.0000 0.0000 K
0.0000 0.5000 0.5000 K
0.5000 0.0000 0.5000 K
0.5000 0.5000 0.0000 K
0.0000 0.0000 0.5000 Ca
0.0000 0.5000 0.0000 Ca
0.5000 0.0000 0.0000 Ca
0.5000 0.5000 0.5000 Ca
0.2500 0.2500 0.2500 Bi
0.2500 0.2500 0.7500 Bi
0.2500 0.7500 0.2500 Bi
0.2500 0.7500 0.7500 Bi
0.7500 0.2500 0.2500 Bi
0.7500 0.2500 0.7500 Bi
0.7500 0.7500 0.2500 Bi
0.7500 0.7500 0.7500 Bi

---

Entry 11:
BaZrRu2 (PBEsol, relaxed); excess energy over the best structure of this formula in the dataset = 0.00 eV per formula unit; D(E_F) = 4.0 states/eV/cell; formation energy from the elements = 1.49 eV/f.u.
1.0
3.0260 0.0000 0.0000
0.0000 3.6887 0.0000
0.0000 0.0000 8.0975
Ba Zr Ru
1 1 2
direct
0.0000 0.0000 0.0000 Ba
0.5000 0.5000 0.6148 Zr
0.0000 0.0000 0.4291 Ru
0.5000 0.5000 0.3075 Ru

---

Entry 12:
NaIrPdF2 (PBEsol, relaxed); D(E_F) = 4.9 states/eV/cell; formation energy without anion corrections = -0.33 eV/atom
1.0
4.1264 0.0000 0.0000
0.0000 4.1264 0.0000
0.0000 0.0000 4.9789
Na Ir Pd F
1 1 1 2
direct
0.0000 0.0000 0.0000 Na
0.5000 0.5000 0.5000 Ir
0.5000 0.5000 0.0000 Pd
0.0000 0.5000 0.5000 F
0.5000 0.0000 0.5000 F

---

Entry 13:
Te2PtRh (PBEsol, relaxed); excess energy over the best structure of this formula in the dataset = 0.31 eV per formula unit; D(E_F) = 5.2 states/eV/cell; formation energy without anion corrections = -0.16 eV/atom
1.0
3.9303 0.0000 0.0000
0.0000 3.7649 0.0000
0.0000 0.0000 10.4399
Te Pt Rh
4 2 2
direct
0.0000 0.0000 0.0000 Te
0.0000 0.5000 0.5000 Te
0.5000 0.0000 0.2875 Te
0.5000 0.5000 0.7875 Te
0.5000 0.0000 0.5470 Pt
0.5000 0.5000 0.0470 Pt
0.0000 0.0000 0.7449 Rh
0.0000 0.5000 0.2449 Rh

---

Entry 14:
RbLi2LaIn (PBEsol, relaxed); D(E_F) = 6.4 states/eV/cell; formation energy from the elements = 2.43 eV/f.u.
1.0
5.2515 0.0000 0.0000
0.0000 5.2515 0.0000
0.0000 0.0000 6.1539
Rb Li La In
1 2 1 1
direct
0.0000 0.0000 0.0000 Rb
0.0000 0.5000 0.5000 Li
0.5000 0.0000 0.5000 Li
0.5000 0.5000 0.0000 La
0.0000 0.0000 0.5000 In

---

Entry 15:
PCICl2 (PBEsol, relaxed); D(E_F) = 5.5 states/eV/cell; formation energy without anion corrections = 2.05 eV/atom
1.0
5.2381 0.0000 0.0000
0.0000 5.2381 0.0000
0.0000 0.0000 5.3684
P C I Cl
1 1 1 2
direct
0.0000 0.0000 0.0000 P
0.5000 0.5000 0.0000 C
0.0000 0.0000 0.5000 I
0.0000 0.5000 0.5000 Cl
0.5000 0.0000 0.5000 Cl

---

Entry 16:
Ba2SmMnO6 (PBEsol, relaxed); D(E_F) = 6.3 states/eV/cell; formation energy without anion corrections = -2.54 eV/atom
1.0
0.0000 4.1291 4.1291
4.1291 0.0000 4.1291
4.1291 4.1291 0.0000
Ba Sm Mn O
2 1 1 6
direct
0.2500 0.2500 0.2500 Ba
0.7500 0.7500 0.7500 Ba
0.0000 0.0000 0.0000 Sm
0.5000 0.5000 0.5000 Mn
0.2741 0.2741 0.7259 O
0.2741 0.7259 0.2741 O
0.2741 0.7259 0.7259 O
0.7259 0.2741 0.2741 O
0.7259 0.2741 0.7259 O
0.7259 0.7259 0.2741 O

---

Entry 17:
MgSc3 (PBEsol, relaxed); excess energy over the best structure of this formula in the dataset = 0.23 eV per formula unit; D(E_F) = 7.2 states/eV/cell; formation energy from the elements = 0.20 eV/f.u.
1.0
3.2175 0.0000 0.0000
0.0000 5.1994 0.0000
0.0000 0.0000 5.6043
Mg Sc
1 3
direct
0.0000 0.0000 0.0000 Mg
0.0000 0.5000 0.3319 Sc
0.5000 0.0000 0.4927 Sc
0.5000 0.5000 0.8254 Sc

---

Entry 18:
TcAg2P (PBEsol, relaxed); D(E_F) = 4.5 states/eV/cell; formation energy from the elements = 1.95 eV/f.u.
1.0
3.6972 0.0000 0.0000
0.0000 3.7785 0.0000
0.0000 0.0000 8.8659
Tc Ag P
2 4 2
direct
0.0000 0.0000 0.0000 Tc
0.5000 0.5000 0.0000 Tc
0.0000 0.5000 0.2475 Ag
0.0000 0.5000 0.7525 Ag
0.5000 0.0000 0.2475 Ag
0.5000 0.0000 0.7525 Ag
0.0000 0.0000 0.5000 P
0.5000 0.5000 0.5000 P

---

Entry 19:
SnTe2Pb (PBEsol, relaxed); formation energy without anion corrections = -0.32 eV/atom
1.0
4.4911 0.0000 0.0000
-2.2456 3.8894 0.0000
0.0000 0.0000 22.0470
Sn Te Pb
3 6 3
direct
0.0000 0.0000 0.0000 Sn
0.3333 0.6667 0.6667 Sn
0.6667 0.3333 0.3333 Sn
0.0000 0.0000 0.2527 Te
0.0000 0.0000 0.7473 Te
0.3333 0.6667 0.4140 Te
0.3333 0.6667 0.9194 Te
0.6667 0.3333 0.0806 Te
0.6667 0.3333 0.5860 Te
0.0000 0.0000 0.5000 Pb
0.3333 0.6667 0.1667 Pb
0.6667 0.3333 0.8333 Pb

---

Entry 20:
InIr2PdAu (PBEsol, relaxed); D(E_F) = 7.8 states/eV/cell; formation energy from the elements = 10.13 eV/f.u.
1.0
4.8029 0.0000 0.0000
0.0000 4.8029 0.0000
0.0000 0.0000 4.8542
In Ir Pd Au
1 2 1 1
direct
0.0000 0.0000 0.0000 In
0.0000 0.5000 0.0000 Ir
0.5000 0.0000 0.0000 Ir
0.5000 0.5000 0.5000 Pd
0.0000 0.0000 0.5000 Au

---

Entry 21:
RbIn2Bi2 (PBEsol, relaxed); excess energy over the best structure of this formula in the dataset = 0.00 eV per formula unit; D(E_F) = 2.1 states/eV/cell; formation energy from the elements = -1.03 eV/f.u.
1.0
5.0738 0.0000 0.0000
0.0000 5.0738 0.0000
0.0000 0.0000 13.9073
Rb In Bi
2 4 4
direct
0.0000 0.0000 0.0000 Rb
0.5000 0.5000 0.5000 Rb
0.0000 0.5000 0.2500 In
0.0000 0.5000 0.7500 In
0.5000 0.0000 0.2500 In
0.5000 0.0000 0.7500 In
0.0000 0.0000 0.3756 Bi
0.0000 0.0000 0.6244 Bi
0.5000 0.5000 0.1244 Bi
0.5000 0.5000 0.8756 Bi

---

Entry 22:
NiPOs3 (PBEsol, relaxed); D(E_F) = 6.9 states/eV/cell; formation energy from the elements = 6.20 eV/f.u.
1.0
4.2699 0.0000 0.0000
0.0000 4.2699 0.0000
0.0000 0.0000 4.2699
Ni P Os
1 1 3
direct
0.0000 0.0000 0.0000 Ni
0.5000 0.5000 0.5000 P
0.0000 0.5000 0.5000 Os
0.5000 0.0000 0.5000 Os
0.5000 0.5000 0.0000 Os

---

Entry 23:
BaAl2Te4 (PBEsol, relaxed); excess energy over the best structure of this formula in the dataset = 0.06 eV per formula unit; D(E_F) = 0.0 states/eV/cell; formation energy without anion corrections = -0.84 eV/atom
1.0
8.4862 0.0000 0.0000
0.0000 8.4862 0.0000
0.0000 0.0000 6.6474
Ba Al Te
2 4 8
direct
0.0000 0.0000 0.0000 Ba
0.5000 0.5000 0.5000 Ba
0.0000 0.5000 0.0000 Al
0.0000 0.5000 0.5000 Al
0.5000 0.0000 0.0000 Al
0.5000 0.0000 0.5000 Al
0.1708 0.3292 0.2500 Te
0.1708 0.6708 0.7500 Te
0.3292 0.1708 0.7500 Te
0.3292 0.8292 0.2500 Te
0.6708 0.1708 0.2500 Te
0.6708 0.8292 0.7500 Te
0.8292 0.3292 0.7500 Te
0.8292 0.6708 0.2500 Te

---

Entry 24:
Mg2TlCd2 (PBEsol, relaxed); excess energy over the best structure of this formula in the dataset = 0.00 eV per formula unit; D(E_F) = 3.7 states/eV/cell; formation energy from the elements = -0.24 eV/f.u.
1.0
8.5112 0.0000 0.0000
0.0000 8.5112 0.0000
0.0000 0.0000 3.1613
Mg Tl Cd
4 2 4
direct
0.1768 0.3232 0.0000 Mg
0.3232 0.8232 0.0000 Mg
0.6768 0.1768 0.0000 Mg
0.8232 0.6768 0.0000 Mg
0.0000 0.0000 0.5000 Tl
0.5000 0.5000 0.5000 Tl
0.1213 0.6213 0.5000 Cd
0.3787 0.1213 0.5000 Cd
0.6213 0.8787 0.5000 Cd
0.8787 0.3787 0.5000 Cd

---

Entry 25:
CsTlF4 (PBEsol, relaxed); D(E_F) = 0.0 states/eV/cell; formation energy without anion corrections = -2.22 eV/atom
1.0
6.5103 0.0000 0.0000
0.0000 8.4300 0.0000
0.0000 0.0000 8.5177
Cs Tl F
4 4 16
direct
0.0152 0.1959 0.2500 Cs
0.0152 0.3041 0.7500 Cs
0.9848 0.6959 0.2500 Cs
0.9848 0.8041 0.7500 Cs
0.5000 0.0000 0.0000 Tl
0.5000 0.0000 0.5000 Tl
0.5000 0.5000 0.0000 Tl
0.5000 0.5000 0.5000 Tl
0.2037 0.5688 0.5576 F
0.2037 0.5688 0.9424 F
0.2037 0.9312 0.0576 F
0.2037 0.9312 0.4424 F
0.3763 0.2500 0.0000 F
0.3763 0.2500 0.5000 F
0.3981 0.5212 0.2500 F
0.3981 0.9788 0.7500 F
0.6019 0.0212 0.2500 F
0.6019 0.4788 0.7500 F
0.6237 0.7500 0.0000 F
0.6237 0.7500 0.5000 F
0.7963 0.0688 0.5576 F
0.7963 0.0688 0.9424 F
0.7963 0.4312 0.0576 F
0.7963 0.4312 0.4424 F

---

Entry 26:
Fe2Rh (PBEsol, relaxed); D(E_F) = 11.6 states/eV/cell; formation energy from the elements = 0.19 eV/f.u.
1.0
4.1211 0.0000 0.0000
0.0000 12.4265 0.0000
0.0000 0.0000 2.8618
Fe Rh
8 4
direct
0.0000 0.0808 0.2500 Fe
0.0000 0.2440 0.7500 Fe
0.0000 0.7560 0.2500 Fe
0.0000 0.9192 0.7500 Fe
0.5000 0.2560 0.2500 Fe
0.5000 0.4192 0.7500 Fe
0.5000 0.5808 0.2500 Fe
0.5000 0.7440 0.7500 Fe
0.0000 0.4085 0.2500 Rh
0.0000 0.5915 0.7500 Rh
0.5000 0.0915 0.7500 Rh
0.5000 0.9085 0.2500 Rh